Entry 1:
This record from the Alexandria database describes CaTl2Mo after structural relaxation. The functional is GGA-PBE. Values from VASP.

```
&SYSTEM
  ibrav = 0, nat = 4, ntyp = 3
/
ATOMIC_SPECIES
Ca 40.08 Ca.upf
Tl 204.38 Tl.upf
Mo 95.94 Mo.upf
CELL_PARAMETERS angstrom
3.145 0.000 0.000
0.000 5.384 0.000
-0.383 0.000 5.527
ATOMIC_POSITIONS angstrom
Ca 0.000 0.000 0.000
Tl 1.003 2.692 4.415
Tl 1.399 0.000 2.686
Mo 2.249 2.692 1.668
```

- M_tot: 0.0 Bohr magnetons per cell
- Final energy: -3.8900 eV per atom

---

Entry 2:
This record from the Alexandria database describes YNp2ScAs4 after structural relaxation. The functional is GGA-PBE. Values from VASP.

```
&SYSTEM
  ibrav = 0, nat = 8, ntyp = 4
/
ATOMIC_SPECIES
Y 88.91 Y.upf
Np 237.00 Np.upf
Sc 44.96 Sc.upf
As 74.92 As.upf
CELL_PARAMETERS angstrom
7.025 0.000 0.000
0.000 4.039 0.000
-2.328 0.000 6.640
ATOMIC_POSITIONS angstrom
Y 0.000 0.000 0.000
Np 2.348 0.000 3.320
Np 3.513 2.020 0.000
Sc -1.164 2.020 3.320
As -0.022 0.000 4.914
As 1.140 2.020 1.702
As 3.557 2.020 4.937
As 4.719 0.000 1.725
```

- M_tot: 0.1 Bohr magnetons per cell
- Final energy: -8.1935 eV per atom

---

Entry 3:
This record from the Alexandria database describes FePd3N after structural relaxation. The functional is GGA-PBE. Values from VASP.

```
&SYSTEM
  ibrav = 0, nat = 5, ntyp = 3
/
ATOMIC_SPECIES
Fe 55.84 Fe.upf
Pd 106.42 Pd.upf
N 14.01 N.upf
CELL_PARAMETERS angstrom
4.489 0.000 0.000
0.000 4.489 0.000
0.000 0.000 4.489
ATOMIC_POSITIONS angstrom
Fe 0.000 0.000 0.000
Pd 0.000 0.000 2.245
Pd 0.000 2.245 0.000
Pd 2.245 0.000 0.000
N 2.245 2.245 2.245
```

- M_tot: 0.0 Bohr magnetons per cell
- Final energy: -4.3739 eV per atom
- Energy relative to the elements, uncorrected: 1013 kJ/mol of formula units

---

Entry 4:
This record from the Alexandria database describes Na2LaSn2 after structural relaxation. The functional is GGA-PBE. Values from VASP.

```
&SYSTEM
  ibrav = 0, nat = 5, ntyp = 3
/
ATOMIC_SPECIES
Na 22.99 Na.upf
La 138.91 La.upf
Sn 118.71 Sn.upf
CELL_PARAMETERS angstrom
-2.283 2.283 7.231
2.283 -2.283 7.231
2.283 2.283 -7.231
ATOMIC_POSITIONS angstrom
Na 2.283 0.000 3.616
Na 0.000 2.283 3.616
La 0.000 0.000 0.000
Sn 0.000 0.000 5.830
Sn 0.000 0.000 8.633
```

- M_tot: 0.0 Bohr magnetons per cell
- Final energy: -3.4942 eV per atom

---

Entry 5:
This record from the Alexandria database describes Mg12InPd6 after structural relaxation. The functional is GGA-PBE. Values from VASP.

```
&SYSTEM
  ibrav = 0, nat = 19, ntyp = 3
/
ATOMIC_SPECIES
Mg 24.30 Mg.upf
In 114.82 In.upf
Pd 106.42 Pd.upf
CELL_PARAMETERS angstrom
6.427 3.711 2.428
-6.427 3.711 2.428
0.000 -7.421 2.428
ATOMIC_POSITIONS angstrom
Mg -3.956 1.823 2.526
Mg 0.399 -4.338 2.526
Mg -1.861 -0.043 2.539
Mg -3.557 -2.515 4.759
Mg 0.968 -1.590 2.539
Mg 0.893 1.633 2.539
Mg -0.893 -1.633 4.746
Mg -0.968 1.590 4.746
Mg 3.557 2.515 2.526
Mg 1.861 0.043 4.746
Mg -0.399 4.338 4.759
Mg 3.956 -1.823 4.759
In 0.000 0.000 0.000
Pd -1.865 -2.735 2.313
Pd -1.436 2.982 2.313
Pd -3.301 0.248 4.973
Pd 3.301 -0.248 2.313
Pd 1.436 -2.982 4.973
Pd 1.865 2.735 4.973
```

- M_tot: 0.0 Bohr magnetons per cell
- Final energy: -3.2266 eV per atom